Entry 1:
# Sc2CuHgB

A relaxed Sc2CuHgB crystal (PBE, Alexandria via LeMat-Bulk).

The structure in extended XYZ format:
```
5
Lattice="-0.028 -2.405 -3.994 -1.593 -3.412 2.066 -4.330 1.495 -0.870" Properties=species:S:1:pos:R:3 pbc="T T T"
Sc -2.165 0.747 -0.435
Sc -0.014 -1.202 -1.997
B 0.000 0.000 0.000
Cu -2.975 -2.161 -1.399
Hg -0.796 -1.706 1.033
```

Symmetry = P4/mmm (123)
DOS(E_F) = 3.97 states/eV per cell
Formation enthalpy at 0 K = 6.32 kJ per mole of atoms
Electronic total energy = -4.682 eV per atom

Entry 2:
# Ac6Co3Cl2

A relaxed Ac6Co3Cl2 crystal (PBE, Alexandria via LeMat-Bulk).

The structure in extended XYZ format:
```
11
Lattice="7.012 0.000 2.090 3.506 6.348 1.045 0.130 0.000 8.113" Properties=species:S:1:pos:R:3 pbc="T T T"
Cl 3.571 4.235 5.101
Cl 7.077 2.114 6.146
Ac 1.751 2.112 6.962
Ac 5.257 4.236 8.007
Ac 1.894 0.000 2.191
Ac 5.248 0.000 8.012
Ac 8.897 4.236 4.286
Ac 5.391 2.112 3.241
Co 0.000 0.000 0.000
Co 7.012 4.168 2.090
Co 3.506 2.180 1.045
```

Symmetry = C2/m (12)
Energy relative to the elements, uncorrected = -0.61 eV/atom
DOS(E_F) = 6.75 states/eV per cell
Electronic total energy = -5.120 eV per atom

Entry 3:
# Pm2Sm3Dy6Mg

A relaxed Pm2Sm3Dy6Mg crystal (PBE, Alexandria via LeMat-Bulk).

The structure in extended XYZ format:
```
12
Lattice="-4.685 -3.834 -1.160 4.188 1.164 -4.370 6.564 -8.057 5.599" Properties=species:S:1:pos:R:3 pbc="T T T"
Dy 0.037 -3.494 0.551
Dy 3.088 -8.891 0.584
Dy 4.802 -6.711 2.825
Dy 2.980 -1.837 -0.513
Dy 1.265 -4.016 -2.754
Dy 6.031 -7.233 -0.481
Pm 1.227 -0.504 -3.299
Pm -1.724 -2.166 -2.231
Sm 0.070 -7.033 1.108
Sm 5.998 -3.694 -1.037
Sm 3.034 -5.364 0.035
Mg 0.000 0.000 0.000
```

Symmetry = C2/m (12)
DOS(E_F) = 17.46 states/eV per cell
Formation enthalpy at 0 K = 2.15 kJ per mole of atoms
Electronic total energy = -4.383 eV per atom

Entry 4:
# TlB3S

A relaxed TlB3S crystal (PBE, Alexandria via LeMat-Bulk).

The structure in extended XYZ format:
```
5
Lattice="4.566 0.000 0.000 0.000 4.566 0.000 0.000 0.000 4.566" Properties=species:S:1:pos:R:3 pbc="T T T"
B 0.000 2.283 0.000
B 0.000 0.000 2.283
B 2.283 0.000 0.000
S 2.283 2.283 2.283
Tl 0.000 0.000 0.000
```

Symmetry = Pm-3m (221)
Energy relative to the elements, uncorrected = 2.52 eV/atom
DOS(E_F) = 1.94 states/eV per cell
Electronic total energy = -2.787 eV per atom

Question: What is the electronic total energy in the third record?
Answer: -4.383 eV per atom